# Sm2OsO6

Crystalline Sm2OsO6 at its relaxed geometry (PBE, Alexandria).

It has space group P2_1/c (No. 14), with a = 5.5062 Å, b = 6.0355 Å, c = 8.9092 Å, α = 90.00°, β = 121.03° and γ = 90.00°. Symmetry generates all atoms from Sm at (0.2006, 0.0905, 0.2428), Os at (0.5000, 0.0000, 0.0000), O at (0.1503, 0.1618, 0.9466), O at (0.2808, 0.7296, 0.9194) and O at (0.4186, 0.0618, 0.7678).

The energy relative to the elements, uncorrected comes out at -2.359 eV/atom. The value obtained for the calculated volume is 14.10 Å³/atom. The value obtained for the energy above the lowest structure with this stoichiometry is 0 meV/atom.